[1]
Mg2TlIn2 after structural relaxation, computed with PBE.

Cell and atoms, written as POSCAR:
```
Mg2TlIn2
1.0
-2.521 -2.076 3.169
-0.420 -3.630 -2.712
4.062 -5.490 2.902
Tl Mg In
1 2 2
Cartesian
0.000 0.000 0.000
0.035 -5.210 3.150
1.086 -5.987 0.209
-0.296 -3.413 0.796
1.417 -7.784 2.563
```

Calculated values
The calculation puts the energy above the lowest structure with this stoichiometry at 90 meV/atom. Its space-group type is I4/mmm, No. 139. The value obtained for the formation energy is 0.0550 eV/atom. Its density of states at the Fermi level is 0.52 states/eV per atom.

=====

[2]
Mg5TlIn4 after structural relaxation, computed with PBE.

Cell and atoms, written as POSCAR:
```
Mg5TlIn4
1.0
-0.680 3.133 -1.582
-0.380 -1.668 -3.140
-18.274 -2.248 3.407
Mg Tl In
5 1 4
Cartesian
-2.424 0.500 -2.008
-6.042 0.055 -1.333
-9.667 -0.391 -0.658
-13.292 -0.837 0.018
-16.911 -1.282 0.693
0.000 0.000 0.000
-3.708 -0.456 0.691
-7.326 -0.901 1.366
-10.948 -1.347 2.041
-14.566 -1.792 2.716
```

Calculated values
Its space-group type is P4/mmm, No. 123. The value obtained for the formation energy is -0.0672 eV/atom. Its density of states at the Fermi level is 0.31 states/eV per atom.

=====

[3]
Mg10Tl6In after structural relaxation, computed with PBE.

Cell and atoms, written as POSCAR:
```
Mg10Tl6In
1.0
6.259 0.000 0.000
0.000 7.620 -4.399
0.000 0.000 8.799
Mg Tl In
10 6 1
Cartesian
4.992 5.482 3.165
4.992 0.000 2.469
4.992 2.138 -1.234
1.268 2.138 1.234
1.268 0.000 6.330
1.268 5.482 -3.165
3.130 2.540 4.399
3.130 5.080 0.000
0.000 5.080 0.000
0.000 2.540 4.399
4.554 2.852 1.647
4.554 0.000 5.505
4.554 4.768 -2.753
1.705 4.768 2.753
1.705 0.000 3.294
1.705 2.852 -1.647
3.130 0.000 0.000
```

Calculated values
Its space-group type is P-31m, No. 162. The value obtained for the formation energy is -0.0141 eV/atom. Its density of states at the Fermi level is 0.33 states/eV per atom.

=====

[4]
Mg15TlIn4 after structural relaxation, computed with PBE.

Cell and atoms, written as POSCAR:
```
Mg15TlIn4
1.0
-2.523 3.101 -2.190
-3.535 -2.878 -0.004
-6.673 8.168 19.255
Mg Tl In
15 1 4
Cartesian
-3.029 0.112 -1.097
-4.369 1.752 2.771
-5.699 3.379 6.607
-7.032 5.011 10.454
-8.361 6.638 14.290
-1.940 2.382 0.864
-3.267 4.005 4.692
-4.598 5.635 8.533
-5.929 7.264 12.373
-7.256 8.887 16.201
-2.446 -0.608 1.957
-3.773 1.016 5.785
-5.104 2.645 9.625
-6.435 4.274 13.466
-7.762 5.898 17.294
0.000 0.000 0.000
-1.338 1.637 3.859
-2.671 3.269 7.706
-4.003 4.899 11.549
-5.336 6.531 15.396
```

Calculated values
Its space-group type is P4/mmm, No. 123. The value obtained for the formation energy is -0.0669 eV/atom. Its density of states at the Fermi level is 0.41 states/eV per atom.